[1]
{"formula": "Pr5PaN8", "functional": "GGA-PBE", "state": "optimized geometry", "lattice": [[-3.816, 3.816, 3.725], [3.816, -3.816, 3.725], [3.816, 3.816, -3.725]], "species": ["Pr", "Pr", "Pr", "Pr", "Pr", "Pa", "N", "N", "N", "N", "N", "N", "N", "N"], "fractional_positions": [[0.000, 0.000, 0.000], [0.243, 0.131, 0.649], [0.405, 0.757, 0.888], [0.482, 0.595, 0.351], [0.869, 0.518, 0.112], [0.750, 0.250, 0.500], [0.011, 0.641, 0.549], [0.085, 0.361, 0.895], [0.092, 0.462, 0.451], [0.359, 0.908, 0.370], [0.467, 0.190, 0.105], [0.538, 0.989, 0.630], [0.639, 0.533, 0.724], [0.810, 0.915, 0.276]], "raw_formation_energy_mev_per_atom": -1022, "crystal_system": "tetragonal"}



[2]
{"formula": "Pr4PaN5", "functional": "GGA-PBE", "state": "optimized geometry", "lattice": [[-4.079, 4.079, 2.575], [4.079, -4.079, 2.575], [4.079, 4.079, -2.575]], "species": ["Pr", "Pr", "Pr", "Pr", "Pa", "N", "N", "N", "N", "N"], "fractional_positions": [[0.101, 0.699, 0.800], [0.301, 0.101, 0.402], [0.699, 0.899, 0.598], [0.899, 0.301, 0.200], [0.500, 0.500, 0.000], [0.000, 0.000, 0.000], [0.229, 0.409, 0.639], [0.409, 0.771, 0.180], [0.591, 0.229, 0.820], [0.771, 0.591, 0.361]], "raw_formation_energy_mev_per_atom": -1441, "crystal_system": "tetragonal", "dos_ef_per_ev_fu": 3.4}



[3]
{"formula": "PrPa2PtN5", "functional": "GGA-PBE", "state": "optimized geometry", "lattice": [[-3.298, 3.298, 5.890], [3.298, -3.298, 5.890], [3.298, 3.298, -5.890]], "species": ["Pr", "Pr", "Pa", "Pa", "Pa", "Pa", "Pt", "Pt", "N", "N", "N", "N", "N", "N", "N", "N", "N", "N"], "fractional_positions": [[0.250, 0.250, 0.000], [0.750, 0.750, 0.000], [0.173, 0.673, 0.847], [0.327, 0.173, 0.500], [0.673, 0.827, 0.500], [0.827, 0.327, 0.153], [0.250, 0.750, 0.500], [0.750, 0.250, 0.500], [0.000, 0.000, 0.000], [0.030, 0.227, 0.500], [0.227, 0.727, 0.197], [0.273, 0.470, 0.500], [0.470, 0.970, 0.197], [0.500, 0.500, 0.000], [0.530, 0.030, 0.803], [0.727, 0.530, 0.500], [0.773, 0.273, 0.803], [0.970, 0.773, 0.500]], "raw_formation_energy_mev_per_atom": -1007, "crystal_system": "tetragonal", "dos_ef_per_ev_fu": 7.1}



[4]
{"formula": "PrPu3Pa2N6", "functional": "GGA-PBE", "state": "optimized geometry", "lattice": [[3.066, -5.305, 0.000], [3.066, 5.305, 0.000], [-2.047, 0.000, 5.743]], "species": ["Pr", "Pu", "Pu", "Pu", "Pa", "Pa", "N", "N", "N", "N", "N", "N"], "fractional_positions": [[0.000, 0.000, 0.000], [0.164, 0.836, 0.500], [0.500, 0.500, 0.500], [0.836, 0.164, 0.500], [0.333, 0.667, 0.000], [0.667, 0.333, 0.000], [0.082, 0.437, 0.245], [0.275, 0.275, 0.759], [0.437, 0.082, 0.245], [0.563, 0.918, 0.755], [0.725, 0.725, 0.241], [0.918, 0.563, 0.755]], "raw_formation_energy_mev_per_atom": -1409, "crystal_system": "monoclinic", "dos_ef_per_ev_fu": 15.4}



[5]
{"formula": "Pr2PuPaN5", "functional": "GGA-PBE", "state": "optimized geometry", "lattice": [[4.076, 0.000, 0.000], [0.000, 4.076, 0.000], [0.000, 0.000, 8.920]], "species": ["Pr", "Pr", "Pu", "Pa", "N", "N", "N", "N", "N"], "fractional_positions": [[0.000, 0.000, 0.223], [0.000, 0.000, 0.777], [0.500, 0.500, 0.000], [0.500, 0.500, 0.500], [0.000, 0.000, 0.500], [0.000, 0.500, 0.000], [0.500, 0.000, 0.000], [0.500, 0.500, 0.271], [0.500, 0.500, 0.729]], "raw_formation_energy_mev_per_atom": -1163, "crystal_system": "tetragonal", "dos_ef_per_ev_fu": 6.9}



[6]
{"formula": "PrPuPa2N6", "functional": "GGA-PBE", "state": "optimized geometry", "lattice": [[3.016, 1.741, 4.986], [-3.016, 1.741, 4.986], [0.000, -3.482, 4.986]], "species": ["Pr", "Pu", "Pa", "Pa", "N", "N", "N", "N", "N", "N"], "fractional_positions": [[0.000, 0.000, 0.000], [0.476, 0.476, 0.476], [0.259, 0.259, 0.259], [0.767, 0.767, 0.767], [0.083, 0.620, 0.410], [0.160, 0.557, 0.870], [0.410, 0.083, 0.620], [0.557, 0.870, 0.160], [0.620, 0.410, 0.083], [0.870, 0.160, 0.557]], "raw_formation_energy_mev_per_atom": -1340, "crystal_system": "trigonal", "dos_ef_per_ev_fu": 9.5}



Listing calculated total energy for the structures above in their given order: -8.164 -8.465 -8.945 -11.136 -9.498 -10.146 eV per atom.